A relaxed TcSnB crystal, computed with PBE-GGA.

Values from the calculation:
- calculated volume (Å³/f.u.) = 43.8
- uncorrected energy (eV/atom) = -6.40

a b c (Å): 5.5946 5.5946 5.5946
angles (deg): 90.00 90.00 90.00
With the nearest neighbours (Å) after each atom.
Space group F-43m (No. 216)
One atom of each set of equivalent atoms:
Tc 0.0000 0.0000 0.0000 (multiplicity 4)  4 B 2.42
Sn 0.0000 0.0000 0.5000 (multiplicity 4)  4 B 2.42
B 0.2500 0.2500 0.7500 (multiplicity 4)  4 Sn 2.42, 4 Tc 2.42

***

A relaxed TcNiBIr crystal, computed with PBE-GGA.

Values from the calculation:
- calculated volume (Å³/f.u.) = 48.5
- uncorrected energy (eV/atom) = -7.39

a b c (Å): 5.7893 5.7893 5.7893
angles (deg): 90.00 90.00 90.00
With the nearest neighbours (Å) after each atom.
Space group F-43m (No. 216)
One atom of each set of equivalent atoms:
Tc 0.0000 0.0000 0.0000 (multiplicity 4)  4 B 2.51, 4 Ir 2.51
Ni 0.0000 0.0000 0.5000 (multiplicity 4)  4 B 2.51, 4 Ir 2.51
B 0.2500 0.2500 0.2500 (multiplicity 4)  4 Tc 2.51, 4 Ni 2.51
Ir 0.2500 0.2500 0.7500 (multiplicity 4)  4 Tc 2.51, 4 Ni 2.51

***

A relaxed Cs2Nd2O5 crystal, computed with PBE-GGA.

Values from the calculation:
- calculated volume (Å³/f.u.) = 223.0
- uncorrected energy (eV/atom) = -5.21

a b c (Å): 4.3760 4.3760 11.6450
angles (deg): 90.00 90.00 90.00
With the nearest neighbours (Å) after each atom.
Space group P4/mmm (No. 123)
One atom of each set of equivalent atoms:
Cs 0.0000 0.0000 0.2348 (multiplicity 2)  5 O 2.94-3.09
Nd 0.5000 0.5000 0.0000 (multiplicity 1)  8 O 2.32
Nd 0.5000 0.5000 0.5000 (multiplicity 1)  4 O 3.09
O 0.0000 0.0000 0.5000 (multiplicity 1)  2 Cs 3.09, 4 Nd 3.09
O 0.0000 0.5000 0.0664 (multiplicity 4)  1 O 1.55

***

A relaxed ZrCuBiAu crystal, computed with PBE-GGA.

Values from the calculation:
- calculated volume (Å³/f.u.) = 81.3
- uncorrected energy (eV/atom) = -4.79

a b c (Å): 6.8765 6.8765 6.8765
angles (deg): 90.00 90.00 90.00
With the nearest neighbours (Å) after each atom.
Space group F-43m (No. 216)
One atom of each set of equivalent atoms:
Zr 0.0000 0.0000 0.0000 (multiplicity 4)  4 Bi 2.98, 4 Cu 2.98
Cu 0.2500 0.2500 0.7500 (multiplicity 4)  4 Zr 2.98, 4 Au 2.98
Bi 0.2500 0.2500 0.2500 (multiplicity 4)  4 Zr 2.98, 4 Au 2.98
Au 0.0000 0.0000 0.5000 (multiplicity 4)  4 Bi 2.98, 4 Cu 2.98

***

So what do the calculations give for spin magnetization? Going down the list: 0.000, 0.013, 0.107, 0.094 μB/atom.